First-principles (PBE with a Hubbard U) data for a geometry-optimized YNiF5 structure, as listed in Alexandria.

Results
- Crystal system: orthorhombic
- Excess energy over the best structure of this formula in the dataset: 187 meV per atom

Unit cell a=4.1913 b=6.8926 c=8.1487 alpha=90.00 beta=90.00 gamma=90.00
With the nearest neighbours (Å) after each atom.
Space group Immm (No. 71)
Asymmetric unit:
Y1 0.0000 0.0000 0.0000 x2  6 F 2.10-2.20
Ni1 0.0000 0.0000 0.5000 x2  2 F 1.88
F1 0.0000 0.0000 0.2694 x4  1 Ni 1.88
F2 0.0000 0.3186 0.0000 x4  1 Y 2.20, 2 Ni 2.44
F3 0.0000 0.5000 0.5000 x2  2 Y 2.10